Record 1
VASP calculation (PBE) on a geometry-optimized CsCd2Au structure.

Unit cell a=4.9553 b=4.9553 c=20.0092 alpha=90.00 beta=90.00 gamma=120.00
Space group R3m (No. 160, hexagonal axes)
Symmetry-distinct sites (fractional):
Cs1 0.0000 0.0000 0.0000
Cd1 0.0000 0.0000 0.5189
Cd2 0.0000 0.0000 0.8132
Au1 0.0000 0.0000 0.1843

Summary:
- Polymorph energy (0 for the lowest one): 0 meV/atom
- DFT formation energy: -205 meV per atom
- N(E_F): 6.259 states/eV/cell

***

Record 2
VASP calculation (PBE) on a geometry-optimized Cs2CdAu structure.

Unit cell a=9.005 b=9.005 c=9.005 alpha=90.00 beta=90.00 gamma=90.00
Space group Fm-3m (No. 225)
Symmetry-distinct sites (fractional):
Cs1 0.250 0.250 0.250
Cd1 0.000 0.000 0.000
Au1 0.000 0.000 0.500

Summary:
- Polymorph energy (0 for the lowest one): 81 meV/atom
- DFT formation energy: -102 meV per atom
- N(E_F): 11.356 states/eV/cell

***

Record 3
VASP calculation (PBE) on a geometry-optimized Cs3Cd9Au2 structure.

Unit cell a=5.017 b=13.052 c=14.350 alpha=90.00 beta=90.00 gamma=90.00
Space group Immm (No. 71)
Symmetry-distinct sites (fractional):
Cs1 0.000 0.000 0.000
Cs2 0.000 0.000 0.300
Cd1 0.000 0.287 0.101
Cd2 0.000 0.294 0.306
Cd3 0.000 0.500 0.000
Au1 0.000 0.253 0.500

Summary:
- DFT formation energy: -106 meV per atom
- N(E_F): 13.038 states/eV/cell

***

Record 4
VASP calculation (PBE) on a geometry-optimized Cs2CdAu structure.

Unit cell a=4.465 b=4.465 c=9.350 alpha=90.00 beta=90.00 gamma=90.00
Space group P4/mmm (No. 123)
Symmetry-distinct sites (fractional):
Cs1 0.000 0.000 0.221
Cd1 0.500 0.500 0.500
Au1 0.500 0.500 0.000

Summary:
- Polymorph energy (0 for the lowest one): 36 meV/atom
- DFT formation energy: -147 meV per atom
- N(E_F): 2.570 states/eV/cell

***

Record 5
VASP calculation (PBE) on a geometry-optimized Cs3Cd6Au2 structure.

Unit cell a=5.079 b=5.079 c=30.116 alpha=90.00 beta=90.00 gamma=90.00
Space group I4/mmm (No. 139)
Symmetry-distinct sites (fractional):
Cs1 0.000 0.000 0.000
Cs2 0.000 0.000 0.201
Cd1 0.000 0.000 0.348
Cd2 0.000 0.500 0.097
Au1 0.000 0.000 0.453

Summary:
- DFT formation energy: -107 meV per atom
- N(E_F): 10.733 states/eV/cell

***

Record 6
VASP calculation (PBE) on a geometry-optimized Cs2Cd2Au structure.

Unit cell a=9.083 b=13.015 c=7.877 alpha=90.00 beta=103.94 gamma=90.00
Space group C2/m (No. 12)
Symmetry-distinct sites (fractional):
Cs1 0.187 0.174 0.252
Cd1 0.058 0.500 0.343
Cd2 0.206 0.000 0.847
Au1 0.000 0.389 0.000

Summary:
- Polymorph energy (0 for the lowest one): 32 meV/atom
- DFT formation energy: -122 meV per atom
- N(E_F): 10.680 states/eV/cell